1.
The following is a DFT calculation (PBE) of a relaxed structure of Ba2ZnBiTe5.

Structure (extended XYZ):
```
18
Lattice="2.317 -11.173 0.000 2.317 11.173 0.000 0.000 0.000 12.927" Properties=species:S:1:pos:R:3 pbc="T T T"
Ba 2.317 8.649 6.464
Ba 2.317 8.628 11.724
Ba 2.317 -8.628 5.260
Ba 2.317 -8.649 0.000
Zn 2.317 1.106 8.243
Zn 2.317 -1.106 1.780
Bi 2.317 6.001 2.647
Bi 2.317 -6.001 9.111
Te 2.317 9.335 2.867
Te 2.317 5.054 11.265
Te 2.317 5.039 6.949
Te 2.317 2.971 2.631
Te 2.317 0.039 5.896
Te 2.317 -0.039 12.360
Te 2.317 -2.971 9.094
Te 2.317 -5.039 0.485
Te 2.317 -5.054 4.801
Te 2.317 -9.335 9.330
```

Output
Formation energy without anion corrections ... -899 meV per atom
Energy ... -3.6448 eV/atom
D(E_F) ... 0.225 states/eV/atom
Calculated density ... 5.89 g/cm3



2.
The following is a DFT calculation (PBE) of a relaxed structure of Tb6GaPd2.

Structure (extended XYZ):
```
18
Lattice="-4.717 4.875 5.156 4.717 -4.875 5.156 4.717 4.875 -5.156" Properties=species:S:1:pos:R:3 pbc="T T T"
Tb 4.717 3.003 -2.693
Tb 2.674 1.745 0.000
Tb 6.760 1.745 0.000
Tb 1.903 4.875 -1.761
Tb 2.815 0.000 3.395
Tb 0.000 1.872 2.463
Tb 4.717 3.003 2.693
Tb 1.903 4.875 1.761
Tb 2.815 0.000 6.917
Tb -2.043 3.130 5.156
Tb 2.043 3.130 5.156
Tb 0.000 1.872 7.849
Ga 0.000 0.000 0.000
Ga 0.000 0.000 5.156
Pd 4.717 0.000 1.375
Pd 0.000 3.343 0.000
Pd 0.000 6.408 0.000
Pd 0.000 4.875 3.781
```

Output
Energy ... -5.1142 eV/atom
D(E_F) ... 0.964 states/eV/atom
ΔE_f ... -0.5371 eV/atom
Calculated density ... 8.66 g/cm3



3.
The following is a DFT calculation (PBE) of a relaxed structure of Pr3Sm5Sb8.

Structure (extended XYZ):
```
16
Lattice="4.505 2.601 7.354 -4.505 2.601 7.354 0.000 -5.202 7.354" Properties=species:S:1:pos:R:3 pbc="T T T"
Pr -2.252 -1.300 7.354
Pr -2.252 1.300 14.709
Pr 0.000 2.601 7.354
Sm 0.000 0.000 0.000
Sm -4.505 0.000 11.032
Sm -2.252 1.300 3.677
Sm 2.252 1.300 3.677
Sm 0.000 0.000 11.032
Sb -2.268 -1.310 12.844
Sb 0.000 0.000 5.477
Sb 0.000 -2.619 9.219
Sb -2.268 1.310 9.219
Sb 2.268 -1.310 12.844
Sb 0.000 2.619 12.844
Sb 0.000 0.000 16.587
Sb 2.268 1.310 9.219
```

Output
Formation energy without anion corrections ... -1181 meV per atom
Energy ... -5.6134 eV/atom
D(E_F) ... 0.124 states/eV/atom
Calculated density ... 6.90 g/cm3



4.
The following is a DFT calculation (PBE) of a relaxed structure of CaSb2TeP.

Structure (extended XYZ):
```
5
Lattice="5.830 0.000 0.000 0.000 5.830 0.000 0.000 0.000 5.640" Properties=species:S:1:pos:R:3 pbc="T T T"
Ca 0.000 0.000 0.000
Sb 0.000 2.915 0.000
Sb 2.915 0.000 0.000
Te 0.000 0.000 2.820
P 2.915 2.915 2.820
```

Output
Formation energy without anion corrections ... 960 meV per atom
Excess energy over the best structure of this formula in the dataset ... 964 meV/atom
Energy ... -2.7991 eV/atom
D(E_F) ... 1.017 states/eV/atom
Calculated density ... 3.83 g/cm3



5.
The following is a DFT calculation (PBE) of a relaxed structure of CaPm3Rh2.

Structure (extended XYZ):
```
12
Lattice="7.476 -2.683 0.000 7.476 2.683 0.000 -0.836 0.000 7.910" Properties=species:S:1:pos:R:3 pbc="T T T"
Ca 2.215 0.000 2.356
Ca 11.900 0.000 5.554
Pm 0.244 0.000 6.363
Pm 4.108 0.000 7.781
Pm 5.323 0.000 3.660
Pm 8.792 0.000 4.250
Pm 10.007 0.000 0.128
Pm 13.872 0.000 1.547
Rh 2.778 0.000 5.233
Rh 6.637 0.000 6.304
Rh 7.478 0.000 1.606
Rh 11.337 0.000 2.676
```

Output
Excess energy over the best structure of this formula in the dataset ... 82 meV/atom
Energy ... -5.5862 eV/atom
D(E_F) ... 0.729 states/eV/atom
ΔE_f ... -0.4268 eV/atom
Calculated density ... 7.13 g/cm3



6.
The following is a DFT calculation (PBE) of a relaxed structure of Nd6C2SI3.

Structure (extended XYZ):
```
12
Lattice="3.457 -5.989 0.000 3.457 5.989 0.000 -2.307 0.000 7.727" Properties=species:S:1:pos:R:3 pbc="T T T"
Nd -0.073 2.120 6.366
Nd 1.010 0.000 1.357
Nd -0.073 -2.120 6.366
Nd 4.680 2.120 1.361
Nd 3.597 0.000 6.370
Nd 4.680 -2.120 1.361
C 3.457 3.992 0.000
C 3.457 -3.992 0.000
S 3.457 0.000 0.000
I -1.154 0.000 3.864
I 2.304 1.966 3.864
I 2.304 -1.966 3.864
```

Output
Formation energy without anion corrections ... -983 meV per atom
Energy ... -5.6358 eV/atom
D(E_F) ... 0.302 states/eV/atom
Calculated density ... 6.76 g/cm3



These records have spin magnetization values of 0.00 0.00 0.00 1.81 0.00 0.00 μB/f.u., in the order they appear.